Entry 1
GGA-PBE Li2MnFe, optimized geometry; magnetic moment = 3.0 Bohr magnetons per cell; symmetry = No. 65; DOS at the Fermi energy = 3.4 states/eV/f.u.
1.0
2.4037 -0.0252 0.0000
-0.9771 2.1963 0.0000
0.0000 0.0000 9.0816
Fe Mn Li
1 1 2
direct
0.5000 0.5000 0.7500
0.5000 0.5000 0.2500
0.0000 0.0000 0.9987
0.0000 0.0000 0.5013

Entry 2
GGA-PBE Li2MnFe, optimized geometry; magnetic moment = 5.8 Bohr magnetons per cell; symmetry = No. 123; DOS at the Fermi energy = 3.1 states/eV/f.u.
1.0
2.9757 0.0000 0.0000
0.0000 2.9757 0.0000
0.0000 0.0000 5.8269
Fe Mn Li
1 1 2
direct
0.5000 0.5000 0.7500
0.5000 0.5000 0.2500
0.0000 0.0000 0.5085
0.0000 0.0000 0.9915

Stability summary: most stable entry 1, least stable entry 2.

Entry 1
GGA-PBE Li2MnFe, optimized geometry; magnetic moment = 5.8 Bohr magnetons per cell; symmetry = No. 44; DOS at the Fermi energy = 2.6 states/eV/f.u.
1.0
-0.1222 -2.4188 4.6000
1.5053 -4.9712 0.2167
1.0459 5.0155 -0.8812
Mn Li Fe
1 2 1
direct
0.4913 0.4913 0.0000
0.0001 0.0001 0.0000
0.7530 0.2530 0.5000
0.2557 0.7557 0.5000

Entry 2
GGA-PBE Li2MnFe, optimized geometry; magnetic moment = 1.3 Bohr magnetons per cell; symmetry = No. 6; DOS at the Fermi energy = 3.1 states/eV/f.u.
1.0
-1.7883 -2.3641 1.8691
-0.8358 -1.0992 -2.1901
3.8893 -4.6960 -2.2185
Li Fe Mn
2 1 1
direct
0.0000 0.0115 0.9862
0.5000 0.2438 0.2585
0.5000 0.7942 0.7045
0.0000 0.4505 0.5508

Entry 3
GGA-PBE Li2MnFe, optimized geometry; magnetic moment = 6.0 Bohr magnetons per cell; symmetry = No. 99; DOS at the Fermi energy = 3.2 states/eV/f.u.
1.0
2.5897 0.0000 0.0000
0.0000 2.5897 0.0000
0.0000 0.0000 8.7261
Li Fe Mn
2 1 1
direct
0.5000 0.5000 0.2662
0.0000 0.0000 0.9758
0.5000 0.5000 0.7348
0.0000 0.0000 0.5233

Stability summary: most stable entry 3, least stable entry 1.

Entry 1
GGA-PBE Li2MnFe, optimized geometry; magnetic moment = 2.0 Bohr magnetons per cell; symmetry = No. 65; DOS at the Fermi energy = 2.5 states/eV/f.u.
1.0
-0.1718 1.5533 4.7067
-1.2936 -4.5382 -1.5252
2.1743 -0.7271 0.3193
Fe Mn Li
1 1 2
direct
0.0000 0.5000 0.5000
0.5000 0.0000 0.5000
0.0000 0.0000 0.0000
0.5000 0.5000 0.0000

Entry 2
GGA-PBE Li2MnFe, optimized geometry; magnetic moment = 0.8 Bohr magnetons per cell; symmetry = No. 216; DOS at the Fermi energy = 3.5 states/eV/f.u.
1.0
4.1061 0.0000 0.0000
2.0531 3.5560 0.0000
2.0531 1.1853 3.3526
Mn Li Fe
1 2 1
direct
0.7500 0.7500 0.7500
0.2500 0.2500 0.2500
0.0000 0.0000 0.0000
0.5000 0.5000 0.5000

Stability summary: most stable entry 2, least stable entry 1.

Entry 1
GGA-PBE Li2MnFe, optimized geometry; magnetic moment = 2.0 Bohr magnetons per cell; symmetry = No. 47; DOS at the Fermi energy = 2.7 states/eV/f.u.
1.0
2.3163 0.0000 0.0000
0.0000 4.3945 0.0000
0.0000 0.0000 4.5966
Fe Mn Li
1 1 2
direct
0.5000 0.5000 0.7500
0.5000 0.5000 0.2500
0.0000 0.0000 0.0003
0.0000 0.0000 0.4997

Entry 2
GGA-PBE Li2MnFe, optimized geometry; magnetic moment = 4.1 Bohr magnetons per cell; symmetry = No. 71; DOS at the Fermi energy = 3.1 states/eV/f.u.
1.0
5.1838 -0.0217 -0.0613
2.8893 4.3040 0.0613
-3.5261 -3.1036 2.1934
Fe Li Mn
1 2 1
direct
0.2500 0.7500 0.5000
0.4937 0.4937 0.0000
0.0063 0.0063 0.0000
0.7500 0.2500 0.5000

Entry 3
GGA-PBE Li2MnFe, optimized geometry; magnetic moment = 6.0 Bohr magnetons per cell; symmetry = No. 225; DOS at the Fermi energy = 1.9 states/eV/f.u.
1.0
3.8079 -0.6682 1.6104
2.4542 3.2462 0.9898
0.7617 0.9006 4.0186
Li Mn Fe
2 1 1
direct
0.7500 0.7500 0.7500
0.2500 0.2500 0.2500
0.0000 0.0000 0.0000
0.5000 0.5000 0.5000

Stability summary: most stable entry 2, least stable entry 3.